First-principles (PBE) data for an optimized crystal structure of K2IrRu, as listed in Alexandria.

Cell lengths 5.2271, 5.2271, 5.2271 Å; angles 60.00, 60.00, 60.00 degrees
With the nearest neighbours (Å) after each atom.
Element x y z (fractional)
Ru 0.0000 0.0000 0.0000  8 K 3.20
K 0.2500 0.2500 0.2500  4 Ir 3.20, 4 Ru 3.20
K 0.7500 0.7500 0.7500  4 Ir 3.20, 4 Ru 3.20
Ir 0.5000 0.5000 0.5000  8 K 3.20

Values from the calculation:
- E (eV per atom) = -3.250
- ΔE to the lowest computed polymorph (meV per atom) = 1339
- DOS at the Fermi energy (states/eV/cell) = 9.46
- calculated formation energy (kcal/mol of atoms) = 42.271
- total moment (μB/cell) = 3.23
- SG = Fm-3m

=====

First-principles (PBE) data for an optimized crystal structure of KIr2Ru, as listed in Alexandria.

Cell lengths 7.5759, 7.5759, 6.0386 Å; angles 51.15, 51.15, 90.00 degrees
With the nearest neighbours (Å) after each atom.
Element x y z (fractional)
Ru 0.0000 0.0000 0.0000  4 Ir 2.46
Ru 0.7500 0.2500 0.5000  4 Ir 2.46
K 0.5000 0.5000 0.0000  2 Ru 2.79, 4 Ir 3.12
K 0.2500 0.7500 0.5000  2 Ru 2.79, 4 Ir 3.12
Ir 0.6886 0.1250 0.2500  2 Ru 2.46
Ir 0.0614 0.6250 0.2500  2 Ru 2.46
Ir 0.3750 0.3114 0.7500  2 Ru 2.46
Ir 0.8750 0.9386 0.7500  2 Ru 2.46

Values from the calculation:
- E (eV per atom) = -5.832
- ΔE to the lowest computed polymorph (meV per atom) = 723
- DOS at the Fermi energy (states/eV/cell) = 10.18
- calculated formation energy (kcal/mol of atoms) = 27.482
- total moment (μB/cell) = 0.00
- SG = I-42d